# 1
A relaxed structure of SrPrHgSb, computed with PBE-GGA.

Lattice parameters (Å, degrees): 5.5732 5.5732 5.5732 60.00 60.00 60.00
Fractional coordinates of all 4 atoms:
Pr1 0.0000 0.0000 0.0000
Sb1 0.7500 0.7500 0.7500
Hg1 0.2500 0.2500 0.2500
Sr1 0.5000 0.5000 0.5000

## Properties
E_tot = -3.379 eV per atom
total moment = 0.0 μB/f.u.
symmetry = No. 216
uncorrected formation energy = -0.657 eV/atom



# 2
A relaxed structure of Ac8CuIr3Br4, computed with PBE-GGA.

Lattice parameters (Å, degrees): 8.7819 9.6881 8.7813 116.99 120.00 90.00
Fractional coordinates of all 16 atoms:
Ac1 0.2359 0.6946 0.9590
Ac2 0.2358 0.6946 0.4717
Ac3 0.2685 0.3059 0.5371
Ac4 0.7232 0.6946 0.9590
Ac5 0.2768 0.3054 0.0410
Ac6 0.7315 0.6941 0.4629
Ac7 0.7642 0.3054 0.5283
Ac8 0.7641 0.3054 0.0410
Cu1 0.0000 0.5000 0.0000
Ir1 0.5000 0.5000 0.0000
Ir2 0.5000 0.5000 0.5000
Ir3 0.0000 0.5000 0.5000
Br1 0.5000 0.0000 0.0000
Br2 0.5000 0.0000 0.5000
Br3 0.0000 0.0000 0.0000
Br4 0.0000 0.0000 0.5000

## Properties
E_tot = -5.469 eV per atom
total moment = 0.0 μB/f.u.
symmetry = No. 12
uncorrected formation energy = -1.079 eV/atom



# 3
A relaxed structure of CdInTe2, computed with PBE-GGA.

Lattice parameters (Å, degrees): 7.5898 7.5904 7.5904 33.47 33.47 33.47
Fractional coordinates of all 4 atoms:
Cd1 0.2500 0.2500 0.2500
Te1 0.9981 0.9981 0.9981
Te2 0.5019 0.5019 0.5019
In1 0.7500 0.7500 0.7500

## Properties
E_tot = -2.802 eV per atom
total moment = 0.0 μB/f.u.
symmetry = No. 166
uncorrected formation energy = -0.318 eV/atom



# 4
A relaxed structure of Ho2ZnCu12Ni3, computed with PBE-GGA.

Lattice parameters (Å, degrees): 12.1404 12.1404 12.1404 24.29 24.29 24.29
Each line ends with the local moment (μB).
Fractional coordinates of all 18 atoms:
Ho1 0.6418 0.6418 0.6418  0.02
Ho2 0.3582 0.3582 0.3582  0.02
Zn1 0.0000 0.0000 0.0000  0.00
Cu1 0.3941 0.3941 0.8730  0.00
Cu2 0.8911 0.8911 0.3916  0.01
Cu3 0.3916 0.8911 0.8911  0.01
Cu4 0.8730 0.3941 0.3941  0.00
Cu5 0.8911 0.3916 0.8911  0.01
Cu6 0.3941 0.8730 0.3941  0.00
Cu7 0.6059 0.6059 0.1270  0.00
Cu8 0.1089 0.1089 0.6084  0.01
Cu9 0.6084 0.1089 0.1089  0.01
Cu10 0.1270 0.6059 0.6059  0.00
Cu11 0.1089 0.6084 0.1089  0.01
Cu12 0.6059 0.1270 0.6059  0.00
Ni1 0.5000 0.0000 0.0000  -0.35
Ni2 0.0000 0.5000 0.0000  -0.35
Ni3 0.0000 0.0000 0.5000  -0.35

## Properties
E_tot = -4.115 eV per atom
formation enthalpy at 0 K = 159.0 meV per atom
total moment = 0.9 μB/f.u.
symmetry = No. 166